Record 1
Here is HfPHO2 after structural relaxation from Alexandria. Energies are from PBE.

Unit cell a=3.9361 b=3.3510 c=3.9361 alpha=90.00 beta=90.00 gamma=90.00
Closest atoms and distances in Å follow each position.
Sites, in units of the cell vectors:
P 0.5000 0.5000 0.5000  8 O 2.58, 4 Hf 2.78
Hf 0.0000 0.5000 0.0000  2 H 1.68
O 0.0000 0.0000 0.5000  2 H 1.97
O 0.5000 0.0000 0.0000  2 H 1.97
H 0.0000 0.0000 0.0000  2 Hf 1.68

Results
Energy above the lowest structure with this stoichiometry = 0.534 eV/atom
Space group = No. 123

Record 2
Here is Rb2HfH2O4 after structural relaxation from Alexandria. Energies are from PBE.

Unit cell a=3.2058 b=6.2450 c=7.6503 alpha=114.35 beta=104.08 gamma=89.75
Closest atoms and distances in Å follow each position.
Sites, in units of the cell vectors:
Rb 0.1992 0.6388 0.2739  1 H 2.76, 4 O 2.94-3.08
Rb 0.8008 0.3612 0.7261  1 H 2.76, 4 O 2.94-3.08
Hf 0.0000 0.0000 0.0000  6 O 2.10-2.18
H 0.8724 0.1761 0.3402  1 O 0.98
H 0.1276 0.8239 0.6598  1 O 0.98
O 0.1663 0.1637 0.3239  1 H 0.98
O 0.8337 0.8363 0.6761  1 H 0.98
O 0.5015 0.7835 0.0002  2 Hf 2.10
O 0.4985 0.2165 0.9998  2 Hf 2.10

Results
Space group = No. 2

Record 3
Here is HfHRu2O after structural relaxation from Alexandria. Energies are from PBE.

Unit cell a=3.8783 b=4.4276 c=3.8783 alpha=90.00 beta=90.00 gamma=90.00
Closest atoms and distances in Å follow each position.
Sites, in units of the cell vectors:
Ru 0.0000 0.0000 0.5000  2 O 1.94
Ru 0.5000 0.0000 0.0000  2 O 1.94
Hf 0.5000 0.5000 0.5000  4 H 2.74, 8 Ru 2.94
O 0.0000 0.0000 0.0000  4 Ru 1.94
H 0.0000 0.5000 0.0000  2 O 2.21

Results
Space group = No. 123

Record 4
Here is HfSb2HO after structural relaxation from Alexandria. Energies are from PBE.

Unit cell a=5.8196 b=3.8639 c=5.8196 alpha=90.00 beta=90.00 gamma=90.00
Closest atoms and distances in Å follow each position.
Sites, in units of the cell vectors:
Sb 0.0000 0.0000 0.5000  2 Hf 2.91
Sb 0.5000 0.0000 0.0000  2 Hf 2.91
Hf 0.0000 0.0000 0.0000  2 O 1.93
O 0.0000 0.5000 0.0000  2 Hf 1.93
H 0.5000 0.5000 0.5000  8 Sb 3.49, 2 H 3.86

Results
Space group = No. 123

Record 5
Here is HfSnHO2 after structural relaxation from Alexandria. Energies are from PBE.

Unit cell a=4.1451 b=4.0198 c=4.1451 alpha=90.00 beta=90.00 gamma=90.00
Closest atoms and distances in Å follow each position.
Sites, in units of the cell vectors:
H 0.0000 0.5000 0.0000  2 Hf 2.01
Hf 0.0000 0.0000 0.0000  2 H 2.01, 4 O 2.07
Sn 0.5000 0.5000 0.5000  8 O 2.89, 4 H 2.93
O 0.0000 0.0000 0.5000  2 Hf 2.07
O 0.5000 0.0000 0.0000  2 Hf 2.07

Results
Space group = No. 123

Record 6
Here is SrHfH2O after structural relaxation from Alexandria. Energies are from PBE.

Unit cell a=3.9814 b=4.8140 c=3.9814 alpha=90.00 beta=90.00 gamma=90.00
Closest atoms and distances in Å follow each position.
Sites, in units of the cell vectors:
Sr 0.0000 0.0000 0.0000  4 H 1.99
Hf 0.5000 0.5000 0.5000  4 O 2.82, 8 H 3.12
O 0.0000 0.5000 0.0000  2 Sr 2.41
H 0.0000 0.0000 0.5000  2 Sr 1.99
H 0.5000 0.0000 0.0000  2 Sr 1.99

Results
Space group = No. 123

Record 7
Here is Sr2HfHO after structural relaxation from Alexandria. Energies are from PBE.

Unit cell a=4.5602 b=5.4312 c=4.5602 alpha=90.00 beta=90.00 gamma=90.00
Closest atoms and distances in Å follow each position.
Sites, in units of the cell vectors:
Sr 0.0000 0.0000 0.5000  2 H 2.28
Sr 0.5000 0.0000 0.0000  2 H 2.28
Hf 0.5000 0.5000 0.5000  4 O 3.22, 8 Sr 3.55
O 0.0000 0.5000 0.0000  2 H 2.72
H 0.0000 0.0000 0.0000  4 Sr 2.28

Results
Space group = No. 123

| no. | theoretical density (g cm⁻³) | size of the total moment (μB/cell) | final energy (eV/atom) |
| --- | --- | --- | --- |
| 1 | 7.8 | 0.00 | -5.913 |
| 2 | 5.1 | 0.00 | -6.290 |
| 3 | 9.9 | 0.00 | -7.280 |
| 4 | 5.6 | 0.59 | -5.462 |
| 5 | 7.9 | 0.00 | -6.945 |
| 6 | 6.2 | 0.93 | -4.589 |
| 7 | 5.5 | 1.97 | -3.884 |